Record 1
Density functional theory data (GGA-PBE) for crystalline Tb3SmTc at its relaxed geometry.

abc: 5.403 5.403 5.403
angles: 90.00 90.00 90.00
Space group Pm-3m (No. 221)
Symmetry-distinct sites (fractional):
1 Tb 0.000 0.000 0.500 x3
2 Sm 0.500 0.500 0.500 x1
3 Tc 0.000 0.000 0.000 x1

Properties
Theoretical density in kg/m³: 7635
Energy relative to the lowest polymorph listed for this composition in meV/atom: 176

***

Record 2
Density functional theory data (GGA-PBE) for crystalline Tb2SmTc9 at its relaxed geometry.

abc: 5.3854 5.3854 26.1656
angles: 90.00 90.00 120.00
Space group R-3m (No. 166, hexagonal axes)
Symmetry-distinct sites (fractional):
1 Tb 0.0000 0.0000 0.1436 x6
2 Sm 0.0000 0.0000 0.0000 x3
3 Tc 0.0000 0.0000 0.3386 x6
4 Tc 0.0000 0.0000 0.5000 x3
5 Tc 0.0103 0.5052 0.9167 x18

Properties
Theoretical density in kg/m³: 10235
Energy in eV per formula unit: -107.52

***

Record 3
Density functional theory data (GGA-PBE) for crystalline Tb2SmTc at its relaxed geometry.

abc: 3.4376 3.4376 33.1828
angles: 90.00 90.00 120.00
Space group R-3m (No. 166, hexagonal axes)
Symmetry-distinct sites (fractional):
1 Tb 0.0000 0.0000 0.1056 x6
2 Sm 0.0000 0.0000 0.0000 x3
3 Tc 0.0000 0.0000 0.5000 x3

Properties
Theoretical density in kg/m³: 8306
Energy relative to the lowest polymorph listed for this composition in meV/atom: 343

***

- Among the records above, which one has the highest theoretical density?
  Tb2SmTc9